(1)
Compound: CdPt2Br
Source: the Alexandria database
Functional: meta-GGA SCAN
Structure: PBEsol geometry

Cell: 4.6204 4.6204 4.6204 Å, 60.00 60.00 60.00°
With the nearest neighbours (Å) after each atom.
Sites, in units of the cell vectors:
Pt1 0.2500 0.2500 0.2500  4 Br 2.83, 4 Cd 2.83
Cd1 0.5000 0.5000 0.5000  8 Pt 2.83
Pt2 0.7500 0.7500 0.7500  4 Cd 2.83, 4 Br 2.83
Br1 0.0000 0.0000 0.0000  8 Pt 2.83

distance to the lowest polymorph of the same formula	0.0590	eV per atom
ΔE_f (raw)	0.51	eV/atom

=====

(2)
Compound: Cd2PtBr
Source: the Alexandria database
Functional: meta-GGA SCAN
Structure: PBEsol geometry

Cell: 3.0999 5.0106 5.0106 Å, 90.00 90.00 90.00°
With the nearest neighbours (Å) after each atom.
Sites, in units of the cell vectors:
Br1 0.0000 0.5000 0.5000  8 Cd 2.95, 2 Br 3.10
Cd1 0.5000 0.5000 0.0000  4 Br 2.95, 4 Pt 2.95, 2 Cd 3.10
Cd2 0.5000 0.0000 0.5000  4 Br 2.95, 4 Pt 2.95, 2 Cd 3.10
Pt1 0.0000 0.0000 0.0000  8 Cd 2.95, 2 Pt 3.10

distance to the lowest polymorph of the same formula	0.0000	eV per atom
ΔE_f (raw)	-0.11	eV/atom

=====

(3)
Compound: CdRe2Br
Source: the Alexandria database
Functional: meta-GGA SCAN
Structure: PBEsol geometry

Cell: 2.8653 5.3286 5.5077 Å, 116.36 105.08 90.00°
With the nearest neighbours (Å) after each atom.
Sites, in units of the cell vectors:
Br1 0.4649 0.4526 0.9299  4 Re 2.53-2.60
Re1 0.0269 0.1349 0.0539  2 Br 2.53, 2 Re 2.57
Re2 0.7371 0.1834 0.4742  4 Re 2.57-2.87, 2 Br 2.60
Cd1 0.2710 0.7291 0.5421  2 Cd 2.87, 7 Re 2.95-3.11, 1 Br 3.04

distance to the lowest polymorph of the same formula	0.0000	eV per atom
ΔE_f (raw)	1.00	eV/atom

=====

(4)
Compound: CdRe4Br
Source: the Alexandria database
Functional: meta-GGA SCAN
Structure: PBEsol geometry

Cell: 5.2625 5.2625 5.2625 Å, 60.00 60.00 60.00°
With the nearest neighbours (Å) after each atom.
Sites, in units of the cell vectors:
Re1 0.8727 0.3758 0.3758  6 Re 2.62-2.65
Re2 0.3758 0.3758 0.8727  6 Re 2.62-2.65
Br1 0.7500 0.7500 0.7500  12 Re 3.08, 4 Cd 3.22
Re3 0.3758 0.8727 0.3758  6 Re 2.62-2.65
Cd1 0.0000 0.0000 0.0000  12 Re 3.09, 4 Br 3.22
Re4 0.3758 0.3758 0.3758  6 Re 2.62-2.65

ΔE_f (raw)	1.23	eV/atom

=====

(5)
Compound: CdRe2Br
Source: the Alexandria database
Functional: meta-GGA SCAN
Structure: PBEsol geometry

Cell: 3.1351 4.3674 5.8180 Å, 111.91 105.45 90.46°
With the nearest neighbours (Å) after each atom.
Sites, in units of the cell vectors:
Cd1 0.5000 0.5000 0.0000  4 Br 2.68-2.70, 4 Re 2.91
Br1 0.0000 0.0000 0.0000  4 Cd 2.68-2.70, 4 Re 2.91
Re1 0.5000 0.0000 0.5000  4 Re 2.68-2.70, 2 Cd 2.91, 2 Br 2.91
Re2 0.0000 0.5000 0.5000  4 Re 2.68-2.70, 2 Br 2.91, 2 Cd 2.91

distance to the lowest polymorph of the same formula	0.2420	eV per atom
ΔE_f (raw)	1.24	eV/atom

=====

(6)
Compound: Cd3ReBr
Source: the Alexandria database
Functional: meta-GGA SCAN
Structure: PBEsol geometry

Cell: 5.3071 5.3071 5.3071 Å, 90.00 90.00 90.00°
With the nearest neighbours (Å) after each atom.
Sites, in units of the cell vectors:
Cd1 0.0000 0.0000 0.5000  2 Re 2.65
Cd2 0.5000 0.0000 0.0000  2 Re 2.65
Br1 0.5000 0.5000 0.5000  12 Cd 3.75
Cd3 0.0000 0.5000 0.0000  2 Re 2.65
Re1 0.0000 0.0000 0.0000  6 Cd 2.65

ΔE_f (raw)	0.83	eV/atom

=====

(7)
Compound: CdRe2Br
Source: the Alexandria database
Functional: meta-GGA SCAN
Structure: PBEsol geometry

Cell: 2.7996 2.7996 8.4789 Å, 90.00 90.00 90.00°
With the nearest neighbours (Å) after each atom.
Sites, in units of the cell vectors:
Re1 0.0000 0.0000 0.2422  4 Re 2.80, 4 Br 2.85, 4 Cd 2.95
Cd1 0.5000 0.5000 0.5000  4 Cd 2.80, 8 Re 2.95
Br1 0.5000 0.5000 0.0000  4 Br 2.80, 8 Re 2.85
Re2 0.0000 0.0000 0.7578  4 Re 2.80, 4 Br 2.85, 4 Cd 2.95

distance to the lowest polymorph of the same formula	0.5375	eV per atom
ΔE_f (raw)	1.54	eV/atom

=====

(8)
Compound: Cd2RhBr
Source: the Alexandria database
Functional: meta-GGA SCAN
Structure: PBEsol geometry

Cell: 3.0028 4.3060 6.7274 Å, 108.67 102.90 90.00°
With the nearest neighbours (Å) after each atom.
Sites, in units of the cell vectors:
Rh1 0.5000 0.0000 0.0000  4 Br 2.62, 4 Cd 2.81
Cd1 0.1921 0.1921 0.3843  2 Rh 2.81, 6 Cd 2.99-3.00
Br1 0.0000 0.5000 0.0000  4 Rh 2.62
Cd2 0.8079 0.8079 0.6157  2 Rh 2.81, 6 Cd 2.99-3.00

distance to the lowest polymorph of the same formula	0.0000	eV per atom
ΔE_f (raw)	0.09	eV/atom

=====

(9)
Compound: Cd2RhBr
Source: the Alexandria database
Functional: meta-GGA SCAN
Structure: PBEsol geometry

Cell: 4.0285 4.0285 5.3636 Å, 112.06 112.06 90.00°
With the nearest neighbours (Å) after each atom.
Sites, in units of the cell vectors:
Cd1 0.2500 0.7500 0.5000  4 Cd 2.85, 4 Br 3.04, 4 Rh 3.04
Br1 0.5000 0.5000 0.0000  4 Rh 2.85, 8 Cd 3.04
Rh1 0.0000 0.0000 0.0000  4 Br 2.85, 8 Cd 3.04
Cd2 0.7500 0.2500 0.5000  4 Cd 2.85, 4 Br 3.04, 4 Rh 3.04

distance to the lowest polymorph of the same formula	0.1671	eV per atom
ΔE_f (raw)	0.26	eV/atom

=====

(10)
Compound: CdRuBr3
Source: the Alexandria database
Functional: meta-GGA SCAN
Structure: PBEsol geometry

Cell: 4.9687 4.9687 4.9687 Å, 90.00 90.00 90.00°
With the nearest neighbours (Å) after each atom.
Sites, in units of the cell vectors:
Cd1 0.5000 0.5000 0.5000  12 Br 3.51
Ru1 0.0000 0.0000 0.0000  6 Br 2.48
Br1 0.5000 0.0000 0.0000  2 Ru 2.48
Br2 0.0000 0.5000 0.0000  2 Ru 2.48
Br3 0.0000 0.0000 0.5000  2 Ru 2.48

ΔE_f (raw)	0.03	eV/atom

=====

(11)
Compound: CdRuBr
Source: the Alexandria database
Functional: meta-GGA SCAN
Structure: PBEsol geometry

Cell: 3.0681 3.0681 6.3728 Å, 103.93 103.93 90.00°
With the nearest neighbours (Å) after each atom.
Sites, in units of the cell vectors:
Ru1 0.3404 0.3404 0.6808  4 Br 2.66, 4 Cd 2.81
Cd1 0.6908 0.6908 0.3817  4 Ru 2.81, 4 Cd 3.07
Br1 0.9688 0.9688 0.9375  4 Ru 2.66

ΔE_f (raw)	0.54	eV/atom

=====

(12)
Compound: Y2CdRuBr
Source: the Alexandria database
Functional: meta-GGA SCAN
Structure: PBEsol geometry

Cell: 4.9520 5.2028 5.2028 Å, 90.00 90.00 90.00°
With the nearest neighbours (Å) after each atom.
Sites, in units of the cell vectors:
Y1 0.0000 0.0000 0.5000  2 Ru 2.60
Ru1 0.0000 0.0000 0.0000  2 Br 2.48, 4 Y 2.60
Cd1 0.5000 0.5000 0.5000  8 Y 3.59, 4 Br 3.68
Y2 0.0000 0.5000 0.0000  2 Ru 2.60
Br1 0.5000 0.0000 0.0000  2 Ru 2.48

ΔE_f (raw)	-0.06	eV/atom

=====

(13)
Compound: CdS2Br
Source: the Alexandria database
Functional: meta-GGA SCAN
Structure: PBEsol geometry

Cell: 5.2502 5.2502 8.2422 Å, 108.57 108.57 90.00°
With the nearest neighbours (Å) after each atom.
Sites, in units of the cell vectors:
S1 0.3693 0.8750 0.2500  2 Cd 2.60, 2 Br 2.63
S2 0.8807 0.3750 0.2500  2 Cd 2.60, 2 Br 2.63
S3 0.6250 0.6307 0.7500  2 Cd 2.60, 2 Br 2.63
Br1 0.7500 0.2500 0.5000  4 S 2.63
S4 0.1250 0.1193 0.7500  2 Cd 2.60, 2 Br 2.63
Cd1 0.2500 0.7500 0.5000  4 S 2.60
Br2 0.5000 0.5000 0.0000  4 S 2.63
Cd2 0.0000 0.0000 0.0000  4 S 2.60

distance to the lowest polymorph of the same formula	0.0000	eV per atom
ΔE_f (raw)	0.34	eV/atom

=====

(14)
Compound: CdS2Br
Source: the Alexandria database
Functional: meta-GGA SCAN
Structure: PBEsol geometry

Cell: 4.7545 4.7545 4.7545 Å, 60.00 60.00 60.00°
With the nearest neighbours (Å) after each atom.
Sites, in units of the cell vectors:
S1 0.2500 0.2500 0.2500  4 Cd 2.91, 4 Br 2.91
S2 0.7500 0.7500 0.7500  4 Cd 2.91, 4 Br 2.91
Cd1 0.5000 0.5000 0.5000  8 S 2.91
Br1 0.0000 0.0000 0.0000  8 S 2.91

distance to the lowest polymorph of the same formula	0.2848	eV per atom
ΔE_f (raw)	0.63	eV/atom

=====

(15)
Compound: Cd3SBr
Source: the Alexandria database
Functional: meta-GGA SCAN
Structure: PBEsol geometry

Cell: 5.3623 5.3623 5.3623 Å, 90.00 90.00 90.00°
With the nearest neighbours (Å) after each atom.
Sites, in units of the cell vectors:
Cd1 0.0000 0.0000 0.5000  2 Br 2.68
Cd2 0.0000 0.5000 0.0000  2 Br 2.68
Br1 0.0000 0.0000 0.0000  6 Cd 2.68
Cd3 0.5000 0.0000 0.0000  2 Br 2.68
S1 0.5000 0.5000 0.5000  12 Cd 3.79

ΔE_f (raw)	0.63	eV/atom

=====

(16)
Compound: CdSe2SBr
Source: the Alexandria database
Functional: meta-GGA SCAN
Structure: PBEsol geometry

Cell: 5.1735 5.1735 5.0455 Å, 90.00 90.00 90.00°
With the nearest neighbours (Å) after each atom.
Sites, in units of the cell vectors:
Cd1 0.0000 0.0000 0.0000  2 Br 2.52, 4 Se 2.59
Br1 0.0000 0.0000 0.5000  2 Cd 2.52
Se1 0.0000 0.5000 0.0000  2 Cd 2.59
S1 0.5000 0.5000 0.5000  8 Se 3.61, 4 Br 3.66
Se2 0.5000 0.0000 0.0000  2 Cd 2.59

ΔE_f (raw)	0.77	eV/atom

=====

(17)
Compound: YCdS2Br
Source: the Alexandria database
Functional: meta-GGA SCAN
Structure: PBEsol geometry

Cell: 5.1769 5.1769 5.4063 Å, 90.00 90.00 90.00°
With the nearest neighbours (Å) after each atom.
Sites, in units of the cell vectors:
Cd1 0.5000 0.5000 0.5000  4 Br 3.66, 8 S 3.74
S1 0.5000 0.0000 0.0000  2 Y 2.59
Y1 0.0000 0.0000 0.0000  4 S 2.59, 2 Br 2.70
S2 0.0000 0.5000 0.0000  2 Y 2.59
Br1 0.0000 0.0000 0.5000  2 Y 2.70

ΔE_f (raw)	-0.85	eV/atom

=====

(18)
Compound: CdSb2Br
Source: the Alexandria database
Functional: meta-GGA SCAN
Structure: PBEsol geometry

Cell: 4.0564 4.0564 8.5312 Å, 76.25 76.25 60.00°
With the nearest neighbours (Å) after each atom.
Sites, in units of the cell vectors:
Cd1 0.2498 0.2498 0.2507  3 Br 2.83, 3 Sb 3.08
Sb1 0.9980 0.9980 0.0060  3 Sb 2.89, 3 Cd 3.08
Sb2 0.7337 0.7337 0.7989  3 Sb 2.89
Br1 0.5186 0.5186 0.4443  3 Cd 2.83

distance to the lowest polymorph of the same formula	0.0000	eV per atom
ΔE_f (raw)	-0.23	eV/atom

=====

(19)
Compound: CdSb2Br
Source: the Alexandria database
Functional: meta-GGA SCAN
Structure: PBEsol geometry

Cell: 4.5800 4.6732 5.6287 Å, 90.00 109.64 90.00°
With the nearest neighbours (Å) after each atom.
Sites, in units of the cell vectors:
Sb1 0.1952 0.0000 0.3077  2 Cd 2.84, 1 Sb 2.90
Br1 0.5000 0.5000 0.0000  2 Cd 2.97
Sb2 0.8048 0.0000 0.6923  2 Cd 2.84, 1 Sb 2.90
Cd1 0.0000 0.5000 0.5000  4 Sb 2.84, 2 Br 2.97

distance to the lowest polymorph of the same formula	0.1004	eV per atom
ΔE_f (raw)	-0.13	eV/atom

=====

(20)
Compound: CdSb3Br
Source: the Alexandria database
Functional: meta-GGA SCAN
Structure: PBEsol geometry

Cell: 5.4469 5.4469 5.4469 Å, 90.00 90.00 90.00°
With the nearest neighbours (Å) after each atom.
Sites, in units of the cell vectors:
Cd1 0.0000 0.0000 0.0000  6 Sb 2.72
Sb1 0.0000 0.0000 0.5000  2 Cd 2.72
Br1 0.5000 0.5000 0.5000  12 Sb 3.85
Sb2 0.5000 0.0000 0.0000  2 Cd 2.72
Sb3 0.0000 0.5000 0.0000  2 Cd 2.72

ΔE_f (raw)	0.72	eV/atom

=====

| no. | E (eV per atom) | total magnetization (μB/f.u.) |
| --- | --- | --- |
| 1 | -47.0525 | 0.00 |
| 2 | -37.7319 | 0.00 |
| 3 | -47.0196 | 0.00 |
| 4 | -54.4773 | 0.00 |
| 5 | -46.7776 | 0.00 |
| 6 | -35.5281 | 3.33 |
| 7 | -46.4821 | 0.00 |
| 8 | -28.4256 | 0.00 |
| 9 | -28.2584 | 0.00 |
| 10 | -24.6959 | 0.52 |
| 11 | -27.6982 | 1.87 |
| 12 | -28.1394 | 0.00 |
| 13 | -16.9418 | 0.00 |
| 14 | -16.6570 | 0.00 |
| 15 | -23.4366 | 0.00 |
| 16 | -19.1610 | 4.65 |
| 17 | -20.2441 | 0.00 |
| 18 | -31.3314 | 0.00 |
| 19 | -31.2310 | 0.00 |
| 20 | -31.6142 | 0.00 |